The following is a PBE calculation of a geometry-optimized Ba2ScW structure, from Alexandria via LeMat-Bulk.

Lattice parameters (Å, degrees): 5.542 5.542 5.542 60.00 60.00 60.00
Atoms (fractional coordinates):
1 Ba 0.000 0.000 0.000
2 Ba 0.250 0.250 0.250
3 Sc 0.500 0.500 0.500
4 W 0.750 0.750 0.750

Calculated values
The total magnetization comes out at 0.2702 μB per atom. As for the space group: F-43m (216). For the density of states at the Fermi level, the calculation gives 7.70 states/eV/f.u. Its final energy is -4.63 eV/atom. The relative energy among the computed polymorphs comes out at 1.84 eV/f.u. As for the formation energy: 4.597 eV per formula unit.



The following is a PBE calculation of a geometry-optimized Dy4MgCd3 structure, from Alexandria via LeMat-Bulk.

Lattice parameters (Å, degrees): 3.491 4.958 12.321 90.00 90.00 90.00
Atoms (fractional coordinates):
1 Dy 0.500 0.500 0.337
2 Dy 0.000 0.500 0.833
3 Dy 0.000 0.000 0.168
4 Dy 0.500 0.000 0.663
5 Mg 0.500 0.500 0.066
6 Cd 0.000 0.500 0.571
7 Cd 0.000 0.000 0.431
8 Cd 0.500 0.000 0.931

Calculated values
The total magnetization comes out at 0.0000 μB per atom. As for the space group: Pmm2 (25). For the density of states at the Fermi level, the calculation gives 7.85 states/eV/f.u. Its final energy is -3.05 eV/atom. The relative energy among the computed polymorphs comes out at 0.45 eV/f.u. As for the formation energy: -1.612 eV per formula unit.



The following is a PBE calculation of a geometry-optimized ZrCrOs2 structure, from Alexandria via LeMat-Bulk.

Lattice parameters (Å, degrees): 5.021 5.021 5.021 134.46 134.46 66.37
Atoms (fractional coordinates):
1 Cr 0.750 0.250 0.500
2 Os 0.000 0.000 0.000
3 Os 0.250 0.750 0.500
4 Zr 0.500 0.500 0.000

Calculated values
The total magnetization comes out at 0.5338 μB per atom. As for the space group: I-4m2 (119). For the density of states at the Fermi level, the calculation gives 5.57 states/eV/f.u. Its final energy is -10.02 eV/atom. As for the formation energy: 0.558 eV per formula unit.



The following is a PBE calculation of a geometry-optimized Y2TeOs structure, from Alexandria via LeMat-Bulk.

Lattice parameters (Å, degrees): 3.389 3.389 8.509 90.00 90.00 90.00
Atoms (fractional coordinates):
1 Os 0.000 0.000 0.522
2 Te 0.500 0.500 0.707
3 Y 0.000 0.000 0.961
4 Y 0.500 0.500 0.310

Calculated values
The total magnetization comes out at 0.0000 μB per atom. As for the space group: P4mm (99). For the density of states at the Fermi level, the calculation gives 4.10 states/eV/f.u. Its final energy is -6.79 eV/atom. As for the formation energy from raw total energies: 0.8 kcal/mol of atoms.



The following is a PBE calculation of a geometry-optimized Ca2LaOs structure, from Alexandria via LeMat-Bulk.

Lattice parameters (Å, degrees): 5.072 3.663 6.113 71.86 90.00 90.00
Atoms (fractional coordinates):
1 Ca 0.000 0.916 0.962
2 Ca 0.000 0.584 0.538
3 Os 0.500 0.750 0.750
4 La 0.500 0.250 0.250

Calculated values
The total magnetization comes out at 0.0000 μB per atom. As for the space group: P2/m (10). For the density of states at the Fermi level, the calculation gives 2.71 states/eV/f.u. Its final energy is -4.61 eV/atom. The relative energy among the computed polymorphs comes out at 1.27 eV/f.u. As for the formation energy: 1.727 eV per formula unit.



The following is a PBE calculation of a geometry-optimized La4Nd2Y structure, from Alexandria via LeMat-Bulk.

Lattice parameters (Å, degrees): 6.990 9.225 9.225 79.05 67.74 67.74
Atoms (fractional coordinates):
1 La 0.147 0.356 0.350
2 La 0.147 0.850 0.856
3 La 0.226 0.243 0.743
4 La 0.788 0.243 0.743
5 La 0.212 0.757 0.257
6 La 0.853 0.150 0.144
7 La 0.774 0.757 0.257
8 La 0.853 0.644 0.650
9 Nd 0.282 0.968 0.468
10 Nd 0.500 0.000 0.000
11 Nd 0.500 0.500 0.500
12 Nd 0.718 0.032 0.532
13 Y 0.000 0.500 0.000
14 Y 0.500 0.500 0.000

Calculated values
The total magnetization comes out at 0.0000 μB per atom. As for the space group: Imma (74). For the density of states at the Fermi level, the calculation gives 9.72 states/eV/f.u. Its final energy is -4.91 eV/atom. The relative energy among the computed polymorphs comes out at 1.26 eV/f.u. As for the formation energy: 1.369 eV per formula unit.



The following is a PBE calculation of a geometry-optimized Mg6ZnGa structure, from Alexandria via LeMat-Bulk.

Lattice parameters (Å, degrees): 4.668 4.667 8.370 73.81 73.81 90.00
Atoms (fractional coordinates):
1 Mg 0.749 0.749 0.501
2 Mg 0.609 0.109 0.781
3 Mg 0.109 0.609 0.781
4 Mg 0.391 0.891 0.219
5 Mg 0.251 0.251 0.499
6 Mg 0.891 0.391 0.219
7 Zn 0.500 0.500 0.000
8 Ga 0.000 0.000 0.000

Calculated values
The total magnetization comes out at 0.0000 μB per atom. As for the space group: I4/mmm (139). For the density of states at the Fermi level, the calculation gives 3.81 states/eV/f.u. Its final energy is -1.78 eV/atom. The relative energy among the computed polymorphs comes out at 0.00 eV/f.u. As for the formation energy: -0.349 eV per formula unit.



The following is a PBE calculation of a geometry-optimized Mn3CdNi structure, from Alexandria via LeMat-Bulk.

Lattice parameters (Å, degrees): 4.560 4.560 4.560 90.00 90.00 90.00
Atoms (fractional coordinates):
1 Ni 0.000 0.000 0.000
2 Mn 0.000 0.500 0.000
3 Mn 0.000 0.000 0.500
4 Mn 0.500 0.000 0.000
5 Cd 0.500 0.500 0.500

Calculated values
The total magnetization comes out at 2.5301 μB per atom. As for the space group: Pm-3m (221). For the density of states at the Fermi level, the calculation gives 4.29 states/eV/f.u. Its final energy is -6.16 eV/atom. The relative energy among the computed polymorphs comes out at 0.00 eV/f.u. As for the formation energy: 3.405 eV per formula unit.



The following is a PBE calculation of a geometry-optimized ZnCr structure, from Alexandria via LeMat-Bulk.

Lattice parameters (Å, degrees): 3.509 3.509 4.111 90.00 90.00 90.00
Atoms (fractional coordinates):
1 Cr 0.250 0.750 0.000
2 Cr 0.750 0.250 0.000
3 Zn 0.250 0.250 0.500
4 Zn 0.750 0.750 0.500

Calculated values
The total magnetization comes out at 0.0001 μB per atom. As for the space group: P4/mmm (123). For the density of states at the Fermi level, the calculation gives 1.46 states/eV/f.u. Its final energy is -5.22 eV/atom. As for the formation energy: 0.460 eV per formula unit.



The following is a PBE calculation of a geometry-optimized PmNd2Pd structure, from Alexandria via LeMat-Bulk.

Lattice parameters (Å, degrees): 6.610 7.246 10.142 90.00 90.00 90.00
Atoms (fractional coordinates):
1 Pm 0.643 0.525 0.250
2 Pm 0.857 0.025 0.250
3 Pm 0.357 0.475 0.750
4 Pm 0.143 0.975 0.750
5 Nd 0.169 0.681 0.060
6 Nd 0.331 0.181 0.440
7 Nd 0.831 0.319 0.560
8 Nd 0.669 0.819 0.940
9 Nd 0.831 0.319 0.940
10 Nd 0.669 0.819 0.560
11 Nd 0.169 0.681 0.440
12 Nd 0.331 0.181 0.060
13 Pd 0.069 0.384 0.250
14 Pd 0.431 0.884 0.250
15 Pd 0.931 0.616 0.750
16 Pd 0.569 0.116 0.750

Calculated values
The total magnetization comes out at 0.0000 μB per atom. As for the space group: Pnma (62). For the density of states at the Fermi level, the calculation gives 4.43 states/eV/f.u. Its final energy is -5.28 eV/atom. The relative energy among the computed polymorphs comes out at 0.00 eV/f.u. As for the formation energy: -1.633 eV per formula unit.



The following is a PBE calculation of a geometry-optimized Th3Al4Zn4 structure, from Alexandria via LeMat-Bulk.

Lattice parameters (Å, degrees): 4.517 6.930 8.487 114.10 105.43 90.00
Atoms (fractional coordinates):
1 Th 0.131 0.131 0.261
2 Th 0.869 0.869 0.739
3 Th 0.000 0.500 0.000
4 Al 0.215 0.715 0.430
5 Al 0.785 0.285 0.570
6 Al 0.500 0.813 0.000
7 Al 0.500 0.187 0.000
8 Zn 0.338 0.154 0.677
9 Zn 0.662 0.477 0.323
10 Zn 0.662 0.846 0.323
11 Zn 0.338 0.523 0.677

Calculated values
The total magnetization comes out at 0.0000 μB per atom. As for the space group: Immm (71). For the density of states at the Fermi level, the calculation gives 4.63 states/eV/f.u. Its final energy is -4.20 eV/atom. As for the formation energy: -3.865 eV per formula unit.



The following is a PBE calculation of a geometry-optimized Ti2Zn6Au structure, from Alexandria via LeMat-Bulk.

Lattice parameters (Å, degrees): 4.241 4.505 8.283 96.45 90.00 118.08
Atoms (fractional coordinates):
1 Ti 0.685 0.370 0.721
2 Ti 0.315 0.630 0.279
3 Zn 0.345 0.690 0.935
4 Zn 0.655 0.310 0.065
5 Zn 0.975 0.951 0.155
6 Zn 0.656 0.313 0.387
7 Zn 0.025 0.049 0.845
8 Zn 0.344 0.687 0.613
9 Au 0.000 0.000 0.500

Calculated values
The total magnetization comes out at 0.0000 μB per atom. As for the space group: C2/m (12). For the density of states at the Fermi level, the calculation gives 5.79 states/eV/f.u. Its final energy is -3.07 eV/atom. The relative energy among the computed polymorphs comes out at 0.24 eV/f.u. As for the formation energy: -0.905 eV per formula unit.